DFT (PBE) results for a relaxed TaTlCu2 crystal.

Unit cell a=9.048 b=9.048 c=9.048 alpha=19.30 beta=19.30 gamma=19.30
Sites, in units of the cell vectors:
Ta (0.000, 0.000, 0.000)
Tl (0.500, 0.500, 0.500)
Cu (0.254, 0.254, 0.254)
Cu (0.746, 0.746, 0.746)

Results
offset from the most stable computed form = 0.141 eV per atom
space-group type = R-3m (166)
mass density = 12.0 Mg/m³